# TcC3

A relaxed structure of TcC3 (PBE-GGA, the Alexandria database).

* magnetization: 0.00 μB per formula unit
* DOS at the Fermi energy: 2.71 states/eV per cell
* E_tot: -60.649 eV for the cell shown

CIF file:
```
data_TcC3
_chemical_formula_sum 'Tc2 C6'
_cell_length_a 2.395
_cell_length_b 5.914
_cell_length_c 5.674
_cell_angle_alpha 90.00
_cell_angle_beta 90.00
_cell_angle_gamma 90.00
_space_group_name_H-M_alt 'C m m m'
_space_group_IT_number 65
_space_group_name_Hall '-C 2 2'
loop_
_atom_site_label
_atom_site_type_symbol
_atom_site_fract_x
_atom_site_fract_y
_atom_site_fract_z
Tc1 Tc 0.000 0.000 0.000
C1 C 0.000 0.000 0.500
C2 C 0.000 0.500 0.321
```


# Tc3C

A relaxed structure of Tc3C (PBE-GGA, the Alexandria database).

* magnetization: 0.00 μB per formula unit
* DOS at the Fermi energy: 12.31 states/eV per cell
* E_tot: -106.699 eV for the cell shown

CIF file:
```
data_Tc3C
_chemical_formula_sum 'Tc9 C3'
_cell_length_a 8.0269
_cell_length_b 8.0269
_cell_length_c 2.8136
_cell_angle_alpha 90.00
_cell_angle_beta 90.00
_cell_angle_gamma 120.00
_space_group_name_H-M_alt 'R -3 m'
_space_group_IT_number 166
_space_group_name_Hall '-R 3 2"'
loop_
_atom_site_label
_atom_site_type_symbol
_atom_site_fract_x
_atom_site_fract_y
_atom_site_fract_z
Tc1 Tc 0.0000 0.5000 0.0000
C1 C 0.0000 0.0000 0.0000
```


# Tc3C

A relaxed structure of Tc3C (PBE-GGA, the Alexandria database).

* magnetization: 0.00 μB per formula unit
* DOS at the Fermi energy: 2.18 states/eV per cell
* E_tot: -38.865 eV for the cell shown

CIF file:
```
data_Tc3C
_chemical_formula_sum 'Tc3 C1'
_cell_length_a 2.720
_cell_length_b 2.720
_cell_length_c 6.541
_cell_angle_alpha 90.00
_cell_angle_beta 90.00
_cell_angle_gamma 90.00
_space_group_name_H-M_alt 'P 4/m m m'
_space_group_IT_number 123
_space_group_name_Hall '-P 4 2'
loop_
_atom_site_label
_atom_site_type_symbol
_atom_site_fract_x
_atom_site_fract_y
_atom_site_fract_z
Tc1 Tc 0.000 0.000 0.000
Tc2 Tc 0.500 0.500 0.303
C1 C 0.000 0.000 0.500
```


# TcC2

A relaxed structure of TcC2 (PBE-GGA, the Alexandria database).

* magnetization: 0.00 μB per formula unit
* DOS at the Fermi energy: 5.10 states/eV per cell
* E_tot: -71.616 eV for the cell shown

CIF file:
```
data_TcC2
_chemical_formula_sum 'Tc3 C6'
_cell_length_a 4.9582
_cell_length_b 4.9582
_cell_length_c 5.0580
_cell_angle_alpha 90.00
_cell_angle_beta 90.00
_cell_angle_gamma 120.00
_space_group_name_H-M_alt 'P -3 1 m'
_space_group_IT_number 162
_space_group_name_Hall '-P 3 2'
loop_
_atom_site_label
_atom_site_type_symbol
_atom_site_fract_x
_atom_site_fract_y
_atom_site_fract_z
Tc1 Tc 0.0000 0.0000 0.0000
Tc2 Tc 0.3333 0.6667 0.5000
C1 C 0.0000 0.2998 0.2764
```


# TcC

A relaxed structure of TcC (PBE-GGA, the Alexandria database).

* magnetization: 0.00 μB per formula unit
* DOS at the Fermi energy: 2.49 states/eV per cell
* E_tot: -36.834 eV for the cell shown

CIF file:
```
data_TcC
_chemical_formula_sum 'Tc2 C2'
_cell_length_a 2.926
_cell_length_b 4.188
_cell_length_c 3.311
_cell_angle_alpha 90.00
_cell_angle_beta 90.00
_cell_angle_gamma 90.00
_space_group_name_H-M_alt 'P m m n'
_space_group_IT_number 59
loop_
_space_group_symop_operation_xyz
'x,y,z'
'-x,-y,-z'
'-x+1/2,-y+1/2,z'
'x+1/2,y+1/2,-z'
'x+1/2,-y,-z'
'-x+1/2,y,z'
'-x,y+1/2,-z'
'x,-y+1/2,z'
loop_
_atom_site_label
_atom_site_type_symbol
_atom_site_fract_x
_atom_site_fract_y
_atom_site_fract_z
Tc1 Tc 0.250 0.250 0.180
C1 C 0.250 0.750 0.297
```


# TcC

A relaxed structure of TcC (PBE-GGA, the Alexandria database).

* magnetization: 0.00 μB per formula unit
* DOS at the Fermi energy: 3.58 states/eV per cell
* E_tot: -73.246 eV for the cell shown

CIF file:
```
data_TcC
_chemical_formula_sum 'Tc4 C4'
_cell_length_a 2.884
_cell_length_b 7.108
_cell_length_c 3.959
_cell_angle_alpha 90.00
_cell_angle_beta 90.00
_cell_angle_gamma 90.00
_space_group_name_H-M_alt 'C m c m'
_space_group_IT_number 63
_space_group_name_Hall '-C 2c 2'
loop_
_atom_site_label
_atom_site_type_symbol
_atom_site_fract_x
_atom_site_fract_y
_atom_site_fract_z
Tc1 Tc 0.000 0.137 0.250
C1 C 0.000 0.422 0.250
```


# TcC

A relaxed structure of TcC (PBE-GGA, the Alexandria database).

* magnetization: 0.00 μB per formula unit
* DOS at the Fermi energy: 18.31 states/eV per cell
* E_tot: -294.539 eV for the cell shown

CIF file:
```
data_TcC
_chemical_formula_sum 'Tc16 C16'
_cell_length_a 6.185
_cell_length_b 6.357
_cell_length_c 8.437
_cell_angle_alpha 90.00
_cell_angle_beta 90.00
_cell_angle_gamma 90.00
_space_group_name_H-M_alt 'F d d d'
_space_group_IT_number 70
loop_
_space_group_symop_operation_xyz
'x,y,z'
'-x,-y,-z'
'-x+1/4,-y+1/4,z'
'x+1/4,y+1/4,-z'
'x,-y+1/4,-z+1/4'
'-x,y+1/4,z+1/4'
'-x+1/4,y,-z+1/4'
'x+1/4,-y,z+1/4'
'x,y+1/2,z+1/2'
'-x,-y+1/2,-z+1/2'
'-x+1/4,-y+3/4,z+1/2'
'x+1/4,y+3/4,-z+1/2'
'x,-y+3/4,-z+3/4'
'-x,y+3/4,z+3/4'
'-x+1/4,y+1/2,-z+3/4'
'x+1/4,-y+1/2,z+3/4'
'x+1/2,y,z+1/2'
'-x+1/2,-y,-z+1/2'
'-x+3/4,-y+1/4,z+1/2'
'x+3/4,y+1/4,-z+1/2'
'x+1/2,-y+1/4,-z+3/4'
'-x+1/2,y+1/4,z+3/4'
'-x+3/4,y,-z+3/4'
'x+3/4,-y,z+3/4'
'x+1/2,y+1/2,z'
'-x+1/2,-y+1/2,-z'
'-x+3/4,-y+3/4,z'
'x+3/4,y+3/4,-z'
'x+1/2,-y+3/4,-z+1/4'
'-x+1/2,y+3/4,z+1/4'
'-x+3/4,y+1/2,-z+1/4'
'x+3/4,-y+1/2,z+1/4'
loop_
_atom_site_label
_atom_site_type_symbol
_atom_site_fract_x
_atom_site_fract_y
_atom_site_fract_z
Tc1 Tc 0.087 0.375 0.375
C1 C 0.125 0.365 0.625
```


# Tc3C

A relaxed structure of Tc3C (PBE-GGA, the Alexandria database).

* magnetization: 0.00 μB per formula unit
* DOS at the Fermi energy: 3.30 states/eV per cell
* E_tot: -36.769 eV for the cell shown

CIF file:
```
data_Tc3C
_chemical_formula_sum 'Tc3 C1'
_cell_length_a 2.791
_cell_length_b 3.886
_cell_length_c 4.727
_cell_angle_alpha 90.00
_cell_angle_beta 90.00
_cell_angle_gamma 90.00
_space_group_name_H-M_alt 'P m m m'
_space_group_IT_number 47
loop_
_space_group_symop_operation_xyz
'x,y,z'
'-x,-y,-z'
'-x,-y,z'
'x,y,-z'
'x,-y,-z'
'-x,y,z'
'-x,y,-z'
'x,-y,z'
loop_
_atom_site_label
_atom_site_type_symbol
_atom_site_fract_x
_atom_site_fract_y
_atom_site_fract_z
Tc1 Tc 0.000 0.000 0.000
Tc2 Tc 0.500 0.500 0.264
C1 C 0.000 0.000 0.500
```


# TcC

A relaxed structure of TcC (PBE-GGA, the Alexandria database).

* magnetization: 0.00 μB per formula unit
* DOS at the Fermi energy: 2.12 states/eV per cell
* E_tot: -35.654 eV for the cell shown

CIF file:
```
data_TcC
_chemical_formula_sum 'Tc2 C2'
_cell_length_a 2.865
_cell_length_b 5.256
_cell_length_c 2.977
_cell_angle_alpha 90.00
_cell_angle_beta 90.00
_cell_angle_gamma 90.00
_space_group_name_H-M_alt 'C m m m'
_space_group_IT_number 65
_space_group_name_Hall '-C 2 2'
loop_
_atom_site_label
_atom_site_type_symbol
_atom_site_fract_x
_atom_site_fract_y
_atom_site_fract_z
Tc1 Tc 0.000 0.000 0.000
C1 C 0.000 0.500 0.500
```


# TcC

A relaxed structure of TcC (PBE-GGA, the Alexandria database).

* magnetization: 0.00 μB per formula unit
* DOS at the Fermi energy: 12.89 states/eV per cell
* E_tot: -144.873 eV for the cell shown

CIF file:
```
data_TcC
_chemical_formula_sum 'Tc8 C8'
_cell_length_a 6.307
_cell_length_b 6.307
_cell_length_c 6.307
_cell_angle_alpha 90.00
_cell_angle_beta 90.00
_cell_angle_gamma 90.00
_space_group_name_H-M_alt 'I -4 3 m'
_space_group_IT_number 217
_space_group_name_Hall 'I -4 2 3'
loop_
_atom_site_label
_atom_site_type_symbol
_atom_site_fract_x
_atom_site_fract_y
_atom_site_fract_z
Tc1 Tc 0.156 0.156 0.844
C1 C 0.162 0.162 0.162
```


# TcC2

A relaxed structure of TcC2 (PBE-GGA, the Alexandria database).

* magnetization: 0.00 μB per formula unit
* DOS at the Fermi energy: 7.78 states/eV per cell
* E_tot: -101.766 eV for the cell shown

CIF file:
```
data_TcC2
_chemical_formula_sum 'Tc4 C8'
_cell_length_a 2.565
_cell_length_b 9.526
_cell_length_c 4.294
_cell_angle_alpha 90.00
_cell_angle_beta 90.00
_cell_angle_gamma 90.00
_space_group_name_H-M_alt 'C m c m'
_space_group_IT_number 63
_space_group_name_Hall '-C 2c 2'
loop_
_atom_site_label
_atom_site_type_symbol
_atom_site_fract_x
_atom_site_fract_y
_atom_site_fract_z
Tc1 Tc 0.000 0.182 0.250
C1 C 0.000 0.103 0.750
C2 C 0.000 0.479 0.250
```


# Tc3C

A relaxed structure of Tc3C (PBE-GGA, the Alexandria database).

* magnetization: 0.00 μB per formula unit
* DOS at the Fermi energy: 12.14 states/eV per cell
* E_tot: -117.994 eV for the cell shown

CIF file:
```
data_Tc3C
_chemical_formula_sum 'Tc9 C3'
_cell_length_a 2.8322
_cell_length_b 2.8322
_cell_length_c 21.5373
_cell_angle_alpha 90.00
_cell_angle_beta 90.00
_cell_angle_gamma 120.00
_space_group_name_H-M_alt 'R -3 m'
_space_group_IT_number 166
_space_group_name_Hall '-R 3 2"'
loop_
_atom_site_label
_atom_site_type_symbol
_atom_site_fract_x
_atom_site_fract_y
_atom_site_fract_z
Tc1 Tc 0.0000 0.0000 0.0000
Tc2 Tc 0.0000 0.0000 0.2291
C1 C 0.0000 0.0000 0.5000
```